1.
VASP calculation (GGA-PBEsol) on BeAl2Te after structural relaxation.

Cell lengths 3.6592, 3.6592, 19.8947 Å; angles 90.00, 90.00, 120.00 degrees
Atoms (fractional coordinates):
Be (0.0000, 0.0000, 0.0000)
Be (0.3333, 0.6667, 0.6667)
Be (0.6667, 0.3333, 0.3333)
Al (0.0000, 0.0000, 0.2595)
Al (0.0000, 0.0000, 0.5028)
Al (0.3333, 0.6667, 0.1694)
Al (0.3333, 0.6667, 0.9261)
Al (0.6667, 0.3333, 0.5928)
Al (0.6667, 0.3333, 0.8361)
Te (0.0000, 0.0000, 0.7317)
Te (0.3333, 0.6667, 0.3983)
Te (0.6667, 0.3333, 0.0650)

Calculated values
ΔE to the lowest computed polymorph = 0.0722 eV/atom
electronic total energy = -44.0 eV/cell
symmetry = R3m (160)
uncorrected formation energy = 6.106 kcal/mol of atoms

***

2.
VASP calculation (GGA-PBEsol) on BeAl2Te after structural relaxation.

Cell lengths 3.7867, 3.7867, 10.3197 Å; angles 90.00, 90.00, 90.00 degrees
Atoms (fractional coordinates):
Be (0.0000, 0.0000, 0.0000)
Be (0.5000, 0.5000, 0.5000)
Al (0.0000, 0.5000, 0.2500)
Al (0.0000, 0.5000, 0.7500)
Al (0.5000, 0.0000, 0.2500)
Al (0.5000, 0.0000, 0.7500)
Te (0.0000, 0.0000, 0.5000)
Te (0.5000, 0.5000, 0.0000)

Calculated values
ΔE to the lowest computed polymorph = 0.1843 eV/atom
electronic total energy = -28.4 eV/cell
symmetry = I4/mmm (139)
uncorrected formation energy = 8.692 kcal/mol of atoms

***

3.
VASP calculation (GGA-PBEsol) on Be2AlTe after structural relaxation.

Cell lengths 3.4580, 3.5553, 5.5323 Å; angles 90.00, 90.00, 90.00 degrees
Atoms (fractional coordinates):
Be (0.0000, 0.0000, 0.1844)
Be (0.0000, 0.0000, 0.8156)
Al (0.5000, 0.5000, 0.0000)
Te (0.0000, 0.5000, 0.5000)

Calculated values
ΔE to the lowest computed polymorph = 0.0000 eV/atom
electronic total energy = -13.9 eV/cell
symmetry = Pmmm (47)
uncorrected formation energy = 9.734 kcal/mol of atoms

***

4.
VASP calculation (GGA-PBEsol) on Be2AlTe after structural relaxation.

Cell lengths 6.3697, 6.3697, 6.3697 Å; angles 90.00, 90.00, 90.00 degrees
Atoms (fractional coordinates):
Be (0.0000, 0.0000, 0.0000)
Be (0.0000, 0.5000, 0.5000)
Be (0.2500, 0.2500, 0.2500)
Be (0.2500, 0.7500, 0.7500)
Be (0.5000, 0.0000, 0.5000)
Be (0.5000, 0.5000, 0.0000)
Be (0.7500, 0.2500, 0.7500)
Be (0.7500, 0.7500, 0.2500)
Al (0.2500, 0.2500, 0.7500)
Al (0.2500, 0.7500, 0.2500)
Al (0.7500, 0.2500, 0.2500)
Al (0.7500, 0.7500, 0.7500)
Te (0.0000, 0.0000, 0.5000)
Te (0.0000, 0.5000, 0.0000)
Te (0.5000, 0.0000, 0.0000)
Te (0.5000, 0.5000, 0.5000)

Calculated values
ΔE to the lowest computed polymorph = 0.3803 eV/atom
electronic total energy = -49.6 eV/cell
symmetry = F-43m (216)
uncorrected formation energy = 18.504 kcal/mol of atoms

***

5.
VASP calculation (GGA-PBEsol) on BeAlTe after structural relaxation.

Cell lengths 3.7520, 5.6775, 11.1520 Å; angles 90.00, 90.00, 90.00 degrees
Atoms (fractional coordinates):
Be (0.0000, 0.0000, 0.0000)
Be (0.0000, 0.5000, 0.5000)
Be (0.5000, 0.0000, 0.5000)
Be (0.5000, 0.5000, 0.0000)
Al (0.0000, 0.0000, 0.6415)
Al (0.0000, 0.5000, 0.1415)
Al (0.5000, 0.0000, 0.1415)
Al (0.5000, 0.5000, 0.6415)
Te (0.0000, 0.0000, 0.3613)
Te (0.0000, 0.5000, 0.8613)
Te (0.5000, 0.0000, 0.8613)
Te (0.5000, 0.5000, 0.3613)

Calculated values
ΔE to the lowest computed polymorph = 0.0000 eV/atom
electronic total energy = -41.3 eV/cell
symmetry = Fmm2 (42)
uncorrected formation energy = 9.867 kcal/mol of atoms

***

6.
VASP calculation (GGA-PBEsol) on BeAl2Te after structural relaxation.

Cell lengths 3.5220, 5.1430, 8.1968 Å; angles 90.00, 90.00, 90.00 degrees
Atoms (fractional coordinates):
Be (0.0000, 0.0000, 0.0000)
Be (0.5000, 0.5000, 0.5000)
Al (0.0000, 0.0000, 0.5077)
Al (0.0000, 0.5000, 0.2799)
Al (0.5000, 0.0000, 0.7799)
Al (0.5000, 0.5000, 0.0076)
Te (0.0000, 0.5000, 0.7146)
Te (0.5000, 0.0000, 0.2146)

Calculated values
ΔE to the lowest computed polymorph = 0.2085 eV/atom
electronic total energy = -28.2 eV/cell
symmetry = Imm2 (44)
uncorrected formation energy = 9.251 kcal/mol of atoms

***

7.
VASP calculation (GGA-PBEsol) on BeAl2Te after structural relaxation.

Cell lengths 6.7832, 3.9022, 6.0058 Å; angles 90.00, 112.02, 90.00 degrees
Atoms (fractional coordinates):
Be (0.0000, 0.0000, 0.0000)
Be (0.5000, 0.5000, 0.0000)
Al (0.2182, 0.5000, 0.1546)
Al (0.2818, 0.0000, 0.8454)
Al (0.7182, 0.0000, 0.1546)
Al (0.7818, 0.5000, 0.8454)
Te (0.0000, 0.5000, 0.5000)
Te (0.5000, 0.0000, 0.5000)

Calculated values
ΔE to the lowest computed polymorph = 0.0000 eV/atom
electronic total energy = -29.9 eV/cell
symmetry = C2/m (12)
uncorrected formation energy = 4.442 kcal/mol of atoms

***

8.
VASP calculation (GGA-PBEsol) on BeAlTe after structural relaxation.

Cell lengths 6.3494, 6.3494, 6.3494 Å; angles 90.00, 90.00, 90.00 degrees
Atoms (fractional coordinates):
Be (0.0000, 0.0000, 0.0000)
Be (0.0000, 0.5000, 0.5000)
Be (0.5000, 0.0000, 0.5000)
Be (0.5000, 0.5000, 0.0000)
Al (0.2500, 0.2500, 0.7500)
Al (0.2500, 0.7500, 0.2500)
Al (0.7500, 0.2500, 0.2500)
Al (0.7500, 0.7500, 0.7500)
Te (0.0000, 0.0000, 0.5000)
Te (0.0000, 0.5000, 0.0000)
Te (0.5000, 0.0000, 0.0000)
Te (0.5000, 0.5000, 0.5000)

Calculated values
ΔE to the lowest computed polymorph = 0.2506 eV/atom
electronic total energy = -38.3 eV/cell
symmetry = F-43m (216)
uncorrected formation energy = 15.647 kcal/mol of atoms

***

9.
VASP calculation (GGA-PBEsol) on BeAl2Te after structural relaxation.

Cell lengths 3.7466, 3.7466, 5.2816 Å; angles 90.00, 90.00, 90.00 degrees
Atoms (fractional coordinates):
Be (0.0000, 0.0000, 0.0000)
Al (0.0000, 0.5000, 0.5000)
Al (0.5000, 0.0000, 0.5000)
Te (0.5000, 0.5000, 0.0000)

Calculated values
ΔE to the lowest computed polymorph = 0.2107 eV/atom
electronic total energy = -14.1 eV/cell
symmetry = P4/mmm (123)
uncorrected formation energy = 9.300 kcal/mol of atoms

***

10.
VASP calculation (GGA-PBEsol) on BeAl2Te after structural relaxation.

Cell lengths 3.6419, 3.6419, 5.8072 Å; angles 90.00, 90.00, 90.00 degrees
Atoms (fractional coordinates):
Be (0.0000, 0.0000, 0.0000)
Al (0.0000, 0.0000, 0.4442)
Al (0.5000, 0.5000, 0.5876)
Te (0.5000, 0.5000, 0.0451)

Calculated values
ΔE to the lowest computed polymorph = 0.1314 eV/atom
electronic total energy = -14.4 eV/cell
symmetry = P4mm (99)
uncorrected formation energy = 7.471 kcal/mol of atoms

***

11.
VASP calculation (GGA-PBEsol) on Ti3BeAl after structural relaxation.

Cell lengths 4.3297, 4.3297, 4.3297 Å; angles 90.00, 90.00, 90.00 degrees
Atoms (fractional coordinates):
Ti (0.0000, 0.0000, 0.5000)
Ti (0.0000, 0.5000, 0.0000)
Ti (0.5000, 0.0000, 0.0000)
Be (0.0000, 0.0000, 0.0000)
Al (0.5000, 0.5000, 0.5000)

Calculated values
energy of formation = 0.182 eV per atom
electronic total energy = -32.1 eV/cell
symmetry = Pm-3m (221)

***

12.
VASP calculation (GGA-PBEsol) on BeAlTl2 after structural relaxation.

Cell lengths 4.1460, 4.1460, 9.6589 Å; angles 90.00, 90.00, 90.00 degrees
Atoms (fractional coordinates):
Be (0.0000, 0.0000, 0.0000)
Be (0.5000, 0.5000, 0.5000)
Al (0.0000, 0.5000, 0.7500)
Al (0.5000, 0.0000, 0.2500)
Tl (0.0000, 0.0000, 0.5000)
Tl (0.0000, 0.5000, 0.2500)
Tl (0.5000, 0.0000, 0.7500)
Tl (0.5000, 0.5000, 0.0000)

Calculated values
energy of formation = 0.573 eV per atom
electronic total energy = -22.1 eV/cell
symmetry = I-4m2 (119)

***

Question: Which of these has the lowest electronic total energy?
Answer: number 4

***

Question: What is the electronic total energy in the second record?
Answer: -28.4 eV/cell

***

Question: Number 12 is which compound?
Answer: BeAlTl2

***

Question: What is the electronic total energy in the second record?
Answer: -28.4 eV/cell